No. 1
A plane-wave DFT calculation with GGA-PBE was carried out for Na2Tl4Pb5 after structural relaxation.

Cell: 3.517 8.305 13.422 Å, 119.04 97.53 90.00°
Positions (direct):
Pb1 0.186 0.906 0.372
Pb2 0.868 0.802 0.735
Pb3 0.132 0.198 0.265
Pb4 0.814 0.094 0.628
Pb5 0.500 0.000 0.000
Na1 0.584 0.474 0.169
Na2 0.416 0.526 0.831
Tl1 0.722 0.615 0.443
Tl2 0.043 0.737 0.086
Tl3 0.278 0.385 0.557
Tl4 0.957 0.263 0.914

---

No. 2
A plane-wave DFT calculation with GGA-PBE was carried out for NaTlPb after structural relaxation.

Cell: 5.724 6.145 6.145 Å, 55.19 90.00 90.00°
Positions (direct):
Tl1 0.000 0.678 0.657
Tl2 0.000 0.343 0.322
Pb1 0.500 0.117 0.224
Pb2 0.500 0.776 0.883
Na1 0.500 0.449 0.551
Na2 0.000 0.006 0.994

---

No. 3
A plane-wave DFT calculation with GGA-PBE was carried out for Na6Tl2Pb3 after structural relaxation.

Cell: 6.049 6.049 11.666 Å, 105.03 105.03 90.00°
Positions (direct):
Pb1 0.000 0.000 0.000
Pb2 0.858 0.858 0.715
Pb3 0.142 0.142 0.285
Tl1 0.432 0.432 0.864
Tl2 0.568 0.568 0.136
Na1 0.711 0.711 0.422
Na2 0.592 0.092 0.184
Na3 0.408 0.908 0.816
Na4 0.092 0.592 0.184
Na5 0.289 0.289 0.578
Na6 0.908 0.408 0.816

---

No. 4
A plane-wave DFT calculation with GGA-PBE was carried out for Na5Tl6Pb2 after structural relaxation.

Cell: 3.578 11.216 19.499 Å, 90.00 90.00 90.00°
Positions (direct):
Tl1 0.500 0.685 0.878
Tl2 0.000 0.069 0.362
Tl3 0.500 0.815 0.378
Tl4 0.500 0.185 0.622
Tl5 0.000 0.431 0.862
Tl6 0.000 0.569 0.138
Tl7 0.500 0.315 0.122
Tl8 0.000 0.076 0.068
Tl9 0.000 0.576 0.432
Tl10 0.000 0.931 0.638
Tl11 0.000 0.424 0.568
Tl12 0.000 0.924 0.932
Na1 0.500 0.190 0.927
Na2 0.500 0.434 0.717
Na3 0.500 0.690 0.573
Na4 0.500 0.000 0.500
Na5 0.500 0.566 0.283
Na6 0.500 0.934 0.783
Na7 0.500 0.310 0.427
Na8 0.500 0.500 0.000
Na9 0.500 0.066 0.217
Na10 0.500 0.810 0.073
Pb1 0.000 0.815 0.230
Pb2 0.000 0.685 0.730
Pb3 0.000 0.185 0.770
Pb4 0.000 0.315 0.270

---

No. 5
A plane-wave DFT calculation with GGA-PBE was carried out for Na3Tl8Pb2 after structural relaxation.

Cell: 6.375 6.375 12.530 Å, 75.26 75.26 60.00°
Positions (direct):
Tl1 0.728 0.225 0.320
Tl2 0.728 0.728 0.320
Tl3 0.225 0.728 0.320
Tl4 0.775 0.272 0.680
Tl5 0.725 0.725 0.826
Tl6 0.272 0.775 0.680
Tl7 0.272 0.272 0.680
Tl8 0.275 0.275 0.174
Na1 0.815 0.815 0.555
Na2 0.185 0.185 0.445
Na3 0.000 0.000 0.000
Pb1 0.362 0.362 0.915
Pb2 0.638 0.638 0.085

---

No. 6
A plane-wave DFT calculation with GGA-PBE was carried out for NaTl5Pb after structural relaxation.

Cell: 5.952 8.207 8.207 Å, 67.74 68.74 68.74°
Positions (direct):
Pb1 0.500 0.500 0.500
Na1 0.000 0.000 0.000
Tl1 0.500 0.167 0.833
Tl2 0.753 0.247 0.247
Tl3 0.000 0.500 0.500
Tl4 0.247 0.753 0.753
Tl5 0.500 0.833 0.167

---

No. 7
A plane-wave DFT calculation with GGA-PBE was carried out for Na9TlPb2 after structural relaxation.

Cell: 4.936 4.936 15.021 Å, 90.00 90.00 90.00°
Positions (direct):
Pb1 0.000 0.000 0.332
Pb2 0.000 0.000 0.668
Na1 0.000 0.500 0.172
Na2 0.000 0.500 0.828
Na3 0.000 0.500 0.500
Na4 0.500 0.000 0.172
Na5 0.500 0.000 0.828
Na6 0.500 0.500 0.666
Na7 0.500 0.500 0.334
Na8 0.500 0.000 0.500
Na9 0.500 0.500 0.000
Tl1 0.000 0.000 0.000

---

No. 8
A plane-wave DFT calculation with GGA-PBE was carried out for Na6TlPb12 after structural relaxation.

Cell: 8.302 8.302 8.302 Å, 88.59 88.59 88.59°
Positions (direct):
Pb1 0.630 0.839 0.962
Pb2 0.442 0.528 0.792
Pb3 0.792 0.442 0.528
Pb4 0.558 0.472 0.208
Pb5 0.839 0.962 0.630
Pb6 0.038 0.370 0.161
Pb7 0.472 0.208 0.558
Pb8 0.208 0.558 0.472
Pb9 0.962 0.630 0.839
Pb10 0.161 0.038 0.370
Pb11 0.528 0.792 0.442
Pb12 0.370 0.161 0.038
Na1 0.731 0.271 0.889
Na2 0.729 0.111 0.269
Na3 0.889 0.731 0.271
Na4 0.269 0.729 0.111
Na5 0.271 0.889 0.731
Na6 0.111 0.269 0.729
Tl1 0.000 0.000 0.000

---

No. 9
A plane-wave DFT calculation with GGA-PBE was carried out for Na2Tl9Pb3 after structural relaxation.

Cell: 5.216 8.962 11.187 Å, 113.61 103.48 90.00°
Positions (direct):
Tl1 0.288 0.612 0.575
Tl2 0.119 0.361 0.238
Tl3 0.119 0.877 0.238
Tl4 0.881 0.123 0.762
Tl5 0.881 0.639 0.762
Tl6 0.712 0.037 0.425
Tl7 0.000 0.500 0.000
Tl8 0.288 0.963 0.575
Tl9 0.712 0.388 0.425
Na1 0.500 0.783 0.000
Na2 0.500 0.217 0.000
Pb1 0.381 0.381 0.762
Pb2 0.000 0.000 0.000
Pb3 0.619 0.619 0.238

---

No. 10
A plane-wave DFT calculation with GGA-PBE was carried out for Na5Tl2Pb2 after structural relaxation.

Cell: 6.731 10.271 9.475 Å, 122.82 90.00 90.00°
Positions (direct):
Na1 0.749 0.404 0.307
Na2 0.500 0.500 0.000
Na3 0.249 0.096 0.693
Na4 0.251 0.903 0.307
Na5 0.749 0.097 0.693
Na6 0.751 0.597 0.693
Na7 0.251 0.596 0.693
Na8 0.249 0.403 0.307
Na9 0.000 0.000 0.000
Na10 0.751 0.904 0.307
Tl1 0.001 0.647 0.000
Tl2 0.501 0.853 0.000
Tl3 0.999 0.353 0.000
Tl4 0.499 0.147 0.000
Pb1 0.500 0.777 0.554
Pb2 0.000 0.723 0.446
Pb3 0.000 0.277 0.554
Pb4 0.500 0.223 0.446

---

No. 11
A plane-wave DFT calculation with GGA-PBE was carried out for NaTlPb after structural relaxation.

Cell: 10.833 6.254 6.254 Å, 134.13 138.43 41.57°
Positions (direct):
Na1 0.097 0.570 0.430
Na2 0.903 0.430 0.570
Pb1 0.736 0.257 0.743
Pb2 0.264 0.743 0.257
Tl1 0.602 0.063 0.937
Tl2 0.398 0.937 0.063

---

No. 12
A plane-wave DFT calculation with GGA-PBE was carried out for Na4TlPb3 after structural relaxation.

Cell: 4.801 4.799 10.484 Å, 103.55 103.24 90.00°
Positions (direct):
Na1 0.624 0.623 0.247
Na2 0.376 0.377 0.753
Na3 0.124 0.123 0.247
Na4 0.876 0.877 0.753
Pb1 0.000 0.500 0.000
Pb2 0.746 0.247 0.493
Pb3 0.254 0.753 0.507
Tl1 0.500 0.000 0.000

---

No. 13
A plane-wave DFT calculation with GGA-PBE was carried out for NaTl4Pb3 after structural relaxation.

Cell: 3.580 5.852 12.226 Å, 73.70 98.42 90.00°
Positions (direct):
Pb1 0.876 0.960 0.753
Pb2 0.000 0.500 0.000
Pb3 0.124 0.040 0.247
Tl1 0.622 0.537 0.244
Tl2 0.378 0.463 0.756
Tl3 0.251 0.249 0.502
Tl4 0.749 0.751 0.498
Na1 0.500 0.000 0.000

---

No. 14
A plane-wave DFT calculation with GGA-PBE was carried out for Na3TlPb2 after structural relaxation.

Cell: 6.525 8.005 8.005 Å, 111.34 90.00 90.00°
Positions (direct):
Na1 0.500 0.237 0.763
Na2 0.000 0.237 0.763
Na3 0.500 0.763 0.237
Na4 0.250 0.591 0.591
Na5 0.000 0.763 0.237
Na6 0.750 0.409 0.409
Pb1 0.750 0.854 0.627
Pb2 0.750 0.627 0.854
Pb3 0.250 0.146 0.373
Pb4 0.250 0.373 0.146
Tl1 0.750 0.070 0.070
Tl2 0.250 0.930 0.930

---

No. 15
A plane-wave DFT calculation with GGA-PBE was carried out for NaTl12Pb3 after structural relaxation.

Cell: 5.033 5.033 19.210 Å, 90.00 90.00 90.00°
Positions (direct):
Tl1 0.000 0.500 0.876
Tl2 0.500 0.500 0.000
Tl3 0.500 0.500 0.752
Tl4 0.000 0.500 0.376
Tl5 0.500 0.000 0.124
Tl6 0.000 0.500 0.624
Tl7 0.500 0.500 0.500
Tl8 0.500 0.500 0.248
Tl9 0.500 0.000 0.624
Tl10 0.500 0.000 0.376
Tl11 0.000 0.500 0.124
Tl12 0.500 0.000 0.876
Pb1 0.000 0.000 0.500
Pb2 0.000 0.000 0.244
Pb3 0.000 0.000 0.756
Na1 0.000 0.000 0.000

---

No. 16
A plane-wave DFT calculation with GGA-PBE was carried out for Na6Tl5Pb after structural relaxation.

Cell: 6.521 10.713 7.419 Å, 43.77 84.12 81.85°
Positions (direct):
Tl1 0.500 0.167 0.666
Tl2 0.000 0.334 0.333
Tl3 0.500 0.500 0.000
Tl4 0.000 0.666 0.667
Tl5 0.500 0.833 0.334
Na1 0.750 0.084 0.331
Na2 0.250 0.584 0.331
Na3 0.248 0.251 0.000
Na4 0.250 0.916 0.669
Na5 0.752 0.749 0.000
Na6 0.750 0.416 0.669
Pb1 0.000 0.000 0.000

---

No. 17
A plane-wave DFT calculation with GGA-PBE was carried out for Na8TlPb6 after structural relaxation.

Cell: 9.225 9.225 8.423 Å, 56.80 56.80 60.00°
Positions (direct):
Na1 0.642 0.135 0.385
Na2 0.401 0.401 0.798
Na3 0.865 0.161 0.615
Na4 0.358 0.865 0.615
Na5 0.135 0.839 0.385
Na6 0.161 0.358 0.615
Na7 0.839 0.642 0.385
Na8 0.599 0.599 0.202
Pb1 0.412 0.990 0.887
Pb2 0.010 0.289 0.113
Pb3 0.711 0.412 0.887
Pb4 0.990 0.711 0.887
Pb5 0.588 0.010 0.113
Pb6 0.289 0.588 0.113
Tl1 0.000 0.000 0.000

---

No. 18
A plane-wave DFT calculation with GGA-PBE was carried out for Na17Tl11Pb after structural relaxation.

Cell: 10.386 10.386 10.370 Å, 109.44 109.44 109.52°
Positions (direct):
Na1 0.000 0.585 0.308
Na2 0.308 0.999 0.584
Na3 0.414 0.721 0.414
Na4 0.999 0.999 0.337
Na5 0.417 0.417 0.724
Na6 0.999 0.308 0.584
Na7 0.003 0.003 0.001
Na8 0.584 0.308 0.000
Na9 0.308 0.584 0.000
Na10 0.690 0.690 0.278
Na11 0.278 0.694 0.694
Na12 0.336 0.002 0.001
Na13 0.002 0.336 0.001
Na14 0.664 0.664 0.663
Na15 0.721 0.414 0.414
Na16 0.694 0.278 0.694
Na17 0.585 0.000 0.308
Tl1 0.619 0.000 0.809
Tl2 0.382 0.191 0.385
Tl3 0.808 0.191 0.190
Tl4 0.191 0.191 0.803
Tl5 0.809 0.999 0.618
Tl6 0.811 0.620 0.001
Tl7 0.620 0.811 0.001
Tl8 0.000 0.619 0.809
Tl9 0.191 0.382 0.385
Tl10 0.191 0.808 0.190
Tl11 0.999 0.809 0.618
Pb1 0.376 0.376 0.190

---

No. 19
A plane-wave DFT calculation with GGA-PBE was carried out for Na6Tl3Pb2 after structural relaxation.

Cell: 6.109 6.109 11.660 Å, 105.19 105.19 90.00°
Positions (direct):
Tl1 0.857 0.857 0.715
Tl2 0.000 0.000 0.000
Tl3 0.143 0.143 0.285
Na1 0.411 0.911 0.823
Na2 0.089 0.589 0.177
Na3 0.589 0.089 0.177
Na4 0.911 0.411 0.823
Na5 0.287 0.287 0.574
Na6 0.713 0.713 0.426
Pb1 0.430 0.430 0.861
Pb2 0.570 0.570 0.139

---

Calculated volume readings, ordered: 338.89, 177.48, 397.16, 782.38, 421.57, 333.80, 365.99, 571.64, 463.41, 550.47, 177.39, 228.26, 242.99, 389.51, 486.60, 354.95, 480.91, 861.36, 404.14 Å³/cell
Raw total energy readings, ordered: -2.8149, -2.5774, -2.1068, -2.2468, -2.3050, -2.0498, -1.8920, -2.9344, -2.4582, -2.1402, -2.5684, -2.4734, -2.7700, -2.3519, -2.5653, -2.0368, -2.4155, -1.9097, -1.9964 eV per atom